Entry from Alexandria: a relaxed SrRuPt crystal (PBE).

CIF file:
```
data_SrRuPt
_cell_length_a 4.312
_cell_length_b 4.312
_cell_length_c 4.594
_cell_angle_alpha 90.00
_cell_angle_beta 90.00
_cell_angle_gamma 120.00
_space_group_name_H-M_alt 'P 1'
_space_group_IT_number 1
_space_group_name_Hall 'P 1'
loop_
_atom_site_label
_atom_site_type_symbol
_atom_site_fract_x
_atom_site_fract_y
_atom_site_fract_z
_atom_site_occupancy
Pt1 Pt 0.000 0.000 0.167 1
Ru1 Ru 0.667 0.333 0.167 1
Sr1 Sr 0.333 0.667 0.667 1
```

## Properties
DFT formation energy in eV/atom: -0.0495
Uncorrected energy in eV for the cell shown: -17.15
E above lowest polymorph in meV/atom: 0.0
Space group: P-6m2



Entry from Alexandria: a relaxed SrRu4Pt crystal (PBE).

CIF file:
```
data_SrRu4Pt
_cell_length_a 5.271
_cell_length_b 5.271
_cell_length_c 5.271
_cell_angle_alpha 60.00
_cell_angle_beta 60.00
_cell_angle_gamma 60.00
_space_group_name_H-M_alt 'P 1'
_space_group_IT_number 1
_space_group_name_Hall 'P 1'
loop_
_atom_site_label
_atom_site_type_symbol
_atom_site_fract_x
_atom_site_fract_y
_atom_site_fract_z
_atom_site_occupancy
Sr1 Sr 0.750 0.750 0.750 1
Ru1 Ru 0.878 0.374 0.374 1
Ru2 Ru 0.374 0.374 0.878 1
Ru3 Ru 0.374 0.878 0.374 1
Ru4 Ru 0.374 0.374 0.374 1
Pt1 Pt 0.000 0.000 0.000 1
```

## Properties
DFT formation energy in eV/atom: 0.5026
Uncorrected energy in eV for the cell shown: -41.81
Space group: F-43m



Entry from Alexandria: a relaxed Sr2RuPt crystal (PBE).

CIF file:
```
data_Sr2RuPt
_cell_length_a 5.917
_cell_length_b 5.917
_cell_length_c 5.917
_cell_angle_alpha 136.58
_cell_angle_beta 136.58
_cell_angle_gamma 63.09
_space_group_name_H-M_alt 'P 1'
_space_group_IT_number 1
_space_group_name_Hall 'P 1'
loop_
_atom_site_label
_atom_site_type_symbol
_atom_site_fract_x
_atom_site_fract_y
_atom_site_fract_z
_atom_site_occupancy
Pt1 Pt 0.500 0.500 0.000 1
Ru1 Ru 0.750 0.250 0.500 1
Sr1 Sr 0.000 0.000 0.000 1
Sr2 Sr 0.250 0.750 0.500 1
```

## Properties
DFT formation energy in eV/atom: 0.2320
Uncorrected energy in eV for the cell shown: -17.75
Space group: I-4m2



Entry from Alexandria: a relaxed Sr2Ru2Pt crystal (PBE).

CIF file:
```
data_Sr2Ru2Pt
_cell_length_a 6.832
_cell_length_b 6.832
_cell_length_c 4.848
_cell_angle_alpha 90.00
_cell_angle_beta 90.00
_cell_angle_gamma 90.00
_space_group_name_H-M_alt 'P 1'
_space_group_IT_number 1
_space_group_name_Hall 'P 1'
loop_
_atom_site_label
_atom_site_type_symbol
_atom_site_fract_x
_atom_site_fract_y
_atom_site_fract_z
_atom_site_occupancy
Ru1 Ru 0.381 0.881 0.000 1
Ru2 Ru 0.881 0.619 0.000 1
Ru3 Ru 0.619 0.119 0.000 1
Ru4 Ru 0.119 0.381 0.000 1
Pt1 Pt 0.000 0.000 0.000 1
Pt2 Pt 0.500 0.500 0.000 1
Sr1 Sr 0.184 0.684 0.500 1
Sr2 Sr 0.684 0.816 0.500 1
Sr3 Sr 0.816 0.316 0.500 1
Sr4 Sr 0.316 0.184 0.500 1
```

## Properties
DFT formation energy in eV/atom: 0.0886
Uncorrected energy in eV for the cell shown: -55.03
Space group: P4/mbm